A relaxed K2Mg3NiF12 crystal, computed with GGA+U.

Structure (POSCAR):
```
K2Mg3NiF12
1.0
7.300 0.118 0.084
3.708 6.290 0.084
3.708 2.159 5.908
Mg F K Ni
3 12 2 1
Cartesian
1.854 3.145 0.042
1.854 1.079 2.954
3.650 0.059 0.042
11.390 6.630 1.914
9.228 2.892 2.052
7.645 1.971 4.025
5.489 5.674 4.025
9.102 7.930 5.624
7.072 4.117 5.547
7.072 6.596 2.052
3.327 1.937 4.162
11.390 3.998 5.624
7.645 4.450 0.529
3.327 4.568 0.452
5.616 0.637 0.452
5.822 3.389 2.404
8.896 5.178 3.673
0.000 0.000 0.000
```

- energy (eV/atom) = -4.567
- spin magnetization (μB/atom) = 0.000
- SG = R-3m